[1]
Material: YTaTiPb2
Method: DFT, PBE
State: relaxed

Results
Spin magnetization in μB/f.u.: 0.00
ΔH_f (0 K) in eV per formula unit: 2.914

Cell lengths 5.424, 5.424, 4.889 Å; angles 90.00, 90.00, 90.00 degrees
Space group P4/mmm (No. 123)
Inequivalent atoms, fractional coordinates:
Y 0.000 0.000 0.000 (multiplicity 1)
Ta 0.500 0.500 0.000 (multiplicity 1)
Ti 0.500 0.500 0.500 (multiplicity 1)
Pb 0.000 0.500 0.500 (multiplicity 2)

=====

[2]
Material: DyNb2S5
Method: DFT, PBE
State: relaxed

Results
ΔE_f (raw) in eV/atom: -1.123
Spin magnetization in μB/f.u.: 0.00

Cell lengths 5.624, 12.204, 6.597 Å; angles 90.00, 91.13, 90.00 degrees
Space group C2/m (No. 12)
Inequivalent atoms, fractional coordinates:
Dy 0.000 0.000 0.000 (multiplicity 2)
Nb 0.000 0.293 0.000 (multiplicity 4)
S 0.000 0.500 0.000 (multiplicity 2)
S 0.162 0.172 0.242 (multiplicity 8)

=====

[3]
Material: BaU3Ag4Se12
Method: DFT, PBE
State: relaxed

Results
ΔE_f (raw) in eV/atom: -0.685
Spin magnetization in μB/f.u.: 0.00

Cell lengths 14.9335, 14.9335, 9.9788 Å; angles 90.00, 90.00, 120.00 degrees
Space group R32 (No. 155, hexagonal axes)
Inequivalent atoms, fractional coordinates:
Ba 0.0000 0.0000 0.0000 (multiplicity 3)
U 0.0000 0.5671 0.0000 (multiplicity 9)
Ag 0.0000 0.0000 0.5000 (multiplicity 3)
Ag 0.0000 0.4156 0.5000 (multiplicity 9)
Se 0.0000 0.5986 0.5000 (multiplicity 9)
Se 0.0000 0.8314 0.5000 (multiplicity 9)
Se 0.0674 0.2155 0.1865 (multiplicity 18)

=====

[4]
Material: BaCaIn2Ru
Method: DFT, PBE
State: relaxed

Results
Spin magnetization in μB/f.u.: 0.00
ΔH_f (0 K) in eV per formula unit: -1.014

Cell lengths 5.319, 5.319, 5.357 Å; angles 90.00, 90.00, 90.00 degrees
Space group P4/mmm (No. 123)
Inequivalent atoms, fractional coordinates:
Ba 0.000 0.000 0.000 (multiplicity 1)
Ca 0.500 0.500 0.000 (multiplicity 1)
In 0.000 0.500 0.500 (multiplicity 2)
Ru 0.500 0.500 0.500 (multiplicity 1)

=====

[5]
Material: HgSbAu14
Method: DFT, PBE
State: relaxed

Results
ΔE_f (raw) in eV/atom: 0.050
Spin magnetization in μB/f.u.: 0.00

Cell lengths 9.578, 6.085, 10.335 Å; angles 90.00, 90.00, 90.00 degrees
Space group Amm2 (No. 38)
Inequivalent atoms, fractional coordinates:
Hg 0.000 0.000 0.000 (multiplicity 2)
Sb 0.000 0.000 0.500 (multiplicity 2)
Au 0.000 0.250 0.251 (multiplicity 4)
Au 0.251 0.000 0.170 (multiplicity 4)
Au 0.252 0.000 0.670 (multiplicity 4)
Au 0.257 0.249 0.917 (multiplicity 8)
Au 0.500 0.000 0.001 (multiplicity 2)
Au 0.500 0.000 0.500 (multiplicity 2)
Au 0.500 0.249 0.247 (multiplicity 4)

=====

[6]
Material: Mg4Ag3Pt2
Method: DFT, PBE
State: relaxed

Results
Spin magnetization in μB/f.u.: 0.00
ΔH_f (0 K) in eV per formula unit: -4.255

Cell lengths 8.090, 4.424, 8.688 Å; angles 90.00, 94.30, 90.00 degrees
Space group C2/m (No. 12)
Inequivalent atoms, fractional coordinates:
Mg 0.005 0.000 0.320 (multiplicity 4)
Mg 0.166 0.500 0.890 (multiplicity 4)
Ag 0.000 0.000 0.000 (multiplicity 2)
Ag 0.166 0.500 0.558 (multiplicity 4)
Pt 0.170 0.500 0.215 (multiplicity 4)

=====

[7]
Material: EuY2In
Method: DFT, PBE
State: relaxed

Results
Relative energy among the computed polymorphs in meV per atom: 27.9
Spin magnetization in μB/f.u.: 7.76
ΔH_f (0 K) in eV per formula unit: -0.787

Cell lengths 3.669, 3.669, 9.416 Å; angles 90.00, 90.00, 90.00 degrees
Space group P4/mmm (No. 123)
Inequivalent atoms, fractional coordinates:
Eu 0.000 0.000 0.000 (multiplicity 1)
Y 0.500 0.500 0.291 (multiplicity 2)
In 0.000 0.000 0.500 (multiplicity 1)

=====

[8]
Material: PrMg2In4Ag
Method: DFT, PBE
State: relaxed

Results
Spin magnetization in μB/f.u.: 0.00
ΔH_f (0 K) in eV per formula unit: -1.633

Cell lengths 5.0214, 5.0214, 27.0732 Å; angles 90.00, 90.00, 120.00 degrees
Space group R-3m (No. 166, hexagonal axes)
Inequivalent atoms, fractional coordinates:
Pr 0.0000 0.0000 0.0000 (multiplicity 3)
Mg 0.0000 0.0000 0.2519 (multiplicity 6)
In 0.0000 0.0000 0.1314 (multiplicity 6)
In 0.0000 0.0000 0.3901 (multiplicity 6)
Ag 0.0000 0.0000 0.5000 (multiplicity 3)

=====

[9]
Material: TiInHRh2
Method: DFT, PBE
State: relaxed

Results
VASP energy in eV per atom: -6.146
Spin magnetization in μB/f.u.: 0.00

Cell lengths 4.114, 4.114, 3.909 Å; angles 90.00, 90.00, 90.00 degrees
Space group P4/mmm (No. 123)
Inequivalent atoms, fractional coordinates:
Ti 0.000 0.000 0.000 (multiplicity 1)
In 0.500 0.500 0.000 (multiplicity 1)
H 0.000 0.000 0.500 (multiplicity 1)
Rh 0.000 0.500 0.500 (multiplicity 2)

=====

[10]
Material: Tb6Pm12Dy
Method: DFT, PBE
State: relaxed

Results
Relative energy among the computed polymorphs in meV per atom: 0.0
Spin magnetization in μB/f.u.: 0.00
ΔH_f (0 K) in eV per formula unit: 2.597

Cell lengths 12.1330, 12.1330, 15.2584 Å; angles 90.00, 90.00, 120.00 degrees
Space group R-3 (No. 148, hexagonal axes)
Inequivalent atoms, fractional coordinates:
Tb 0.0144 0.5886 0.1859 (multiplicity 18)
Pm 0.0043 0.1741 0.6912 (multiplicity 18)
Pm 0.0463 0.1960 0.9165 (multiplicity 18)
Dy 0.0000 0.0000 0.5000 (multiplicity 3)

=====

[11]
Material: Tb6PrSc4
Method: DFT, PBE
State: relaxed

Results
Relative energy among the computed polymorphs in meV per atom: 0.0
Spin magnetization in μB/f.u.: 0.00
ΔH_f (0 K) in eV per formula unit: 1.224

Cell lengths 5.515, 9.459, 25.060 Å; angles 90.00, 90.00, 90.00 degrees
Space group Cmcm (No. 63)
Inequivalent atoms, fractional coordinates:
Tb 0.000 0.000 0.000 (multiplicity 4)
Tb 0.000 0.010 0.250 (multiplicity 4)
Tb 0.000 0.325 0.595 (multiplicity 8)
Tb 0.000 0.343 0.178 (multiplicity 8)
Pr 0.000 0.324 0.750 (multiplicity 4)
Sc 0.000 0.010 0.123 (multiplicity 8)
Sc 0.000 0.337 0.043 (multiplicity 8)

=====

Copy entry 9 word for word.
Material: TiInHRh2
Method: DFT, PBE
State: relaxed

Results
VASP energy in eV per atom: -6.146
Spin magnetization in μB/f.u.: 0.00

Cell lengths 4.114, 4.114, 3.909 Å; angles 90.00, 90.00, 90.00 degrees
Space group P4/mmm (No. 123)
Inequivalent atoms, fractional coordinates:
Ti 0.000 0.000 0.000 (multiplicity 1)
In 0.500 0.500 0.000 (multiplicity 1)
H 0.000 0.000 0.500 (multiplicity 1)
Rh 0.000 0.500 0.500 (multiplicity 2)

=====

Number 9 is which compound? TiInHRh2